Entry i
Compound: NaNi2Bi2
Source: Alexandria via LeMat-Bulk
Functional: PBE
Structure: relaxed

Cell: 4.4661 4.4661 6.6900 Å, 70.50 70.50 90.00°
Atoms (fractional coordinates):
Ni (0.7500, 0.2500, 0.5000)
Ni (0.2500, 0.7500, 0.5000)
Bi (0.3623, 0.3623, 0.2753)
Bi (0.6377, 0.6377, 0.7247)
Na (0.0000, 0.0000, 0.0000)

## Properties
- space group = I4/mmm (139)
- crystal system = tetragonal

Entry ii
Compound: NaNi2Bi2
Source: Alexandria via LeMat-Bulk
Functional: PBE
Structure: relaxed

Cell: 4.9231 4.9231 5.7873 Å, 64.83 64.83 90.00°
Atoms (fractional coordinates):
Ni (0.3724, 0.3724, 0.2552)
Ni (0.6276, 0.6276, 0.7448)
Bi (0.7500, 0.2500, 0.5000)
Bi (0.2500, 0.7500, 0.5000)
Na (0.0000, 0.0000, 0.0000)

## Properties
- space group = I4/mmm (139)
- crystal system = tetragonal

Entry iii
Compound: NaNi2Bi2
Source: Alexandria via LeMat-Bulk
Functional: PBE
Structure: relaxed

Cell: 7.7520 7.7520 3.3919 Å, 90.00 90.00 90.00°
Atoms (fractional coordinates):
Ni (0.3806, 0.8806, 0.0000)
Ni (0.8806, 0.6194, 0.0000)
Ni (0.6194, 0.1194, 0.0000)
Ni (0.1194, 0.3806, 0.0000)
Bi (0.1658, 0.6658, 0.5000)
Bi (0.6658, 0.8342, 0.5000)
Bi (0.8342, 0.3342, 0.5000)
Bi (0.3342, 0.1658, 0.5000)
Na (0.0000, 0.0000, 0.0000)
Na (0.5000, 0.5000, 0.0000)

## Properties
- space group = P4/mbm (127)
- crystal system = tetragonal

Quick one: least stable of them? entry ii

Entry i
Compound: Na3BiO3
Source: Alexandria via LeMat-Bulk
Functional: PBE
Structure: relaxed

Cell: 10.2922 10.0881 11.9014 Å, 73.58 64.65 95.26°
Atoms (fractional coordinates):
Na (0.5669, 0.9144, 0.9134)
Na (0.6188, 0.9247, 0.5029)
Na (0.1546, 0.9704, 0.4202)
Na (0.4188, 0.8426, 0.3274)
Na (0.6249, 0.6922, 0.7657)
Na (0.9049, 0.6946, 0.5579)
Na (0.1342, 0.6903, 0.6442)
Na (0.7470, 0.5168, 0.9304)
Na (0.4412, 0.6042, 0.6073)
Na (0.1262, 0.4818, 0.8857)
Na (0.5269, 0.6472, 0.1493)
Na (0.7157, 0.4696, 0.5518)
Na (0.2843, 0.5304, 0.4482)
Na (0.4731, 0.3528, 0.8507)
Na (0.8738, 0.5182, 0.1143)
Na (0.5588, 0.3958, 0.3927)
Na (0.2530, 0.4832, 0.0696)
Na (0.8658, 0.3097, 0.3558)
Na (0.0951, 0.3054, 0.4421)
Na (0.3751, 0.3078, 0.2343)
Na (0.5812, 0.1574, 0.6726)
Na (0.8454, 0.0296, 0.5798)
Na (0.3812, 0.0753, 0.4971)
Na (0.4331, 0.0856, 0.0866)
Bi (0.9181, 0.8366, 0.8367)
Bi (0.3367, 0.8128, 0.7901)
Bi (0.7555, 0.7306, 0.3045)
Bi (0.1877, 0.7092, 0.2395)
Bi (0.8123, 0.2908, 0.7605)
Bi (0.2445, 0.2694, 0.6955)
Bi (0.6633, 0.1872, 0.2099)
Bi (0.0819, 0.1634, 0.1633)
O (0.5631, 0.9166, 0.7150)
O (0.9674, 0.8606, 0.6406)
O (0.3582, 0.8331, 0.6020)
O (0.6936, 0.7364, 0.9238)
O (0.9851, 0.6467, 0.8824)
O (0.3995, 0.8418, 0.1329)
O (0.3669, 0.6049, 0.8403)
O (0.7139, 0.7217, 0.4961)
O (0.1584, 0.7249, 0.4219)
O (0.5344, 0.6561, 0.3506)
O (0.7389, 0.4820, 0.7431)
O (0.1939, 0.4664, 0.6787)
O (0.8061, 0.5336, 0.3213)
O (0.2611, 0.5180, 0.2569)
O (0.4656, 0.3439, 0.6494)
O (0.8416, 0.2751, 0.5781)
O (0.2861, 0.2783, 0.5039)
O (0.6331, 0.3951, 0.1597)
O (0.6005, 0.1582, 0.8671)
O (0.0149, 0.3533, 0.1176)
O (0.3064, 0.2636, 0.0762)
O (0.6418, 0.1669, 0.3980)
O (0.0326, 0.1394, 0.3594)
O (0.4369, 0.0834, 0.2850)

## Properties
- space group = P-1 (2)
- crystal system = triclinic

Entry ii
Compound: Na3BiO3
Source: Alexandria via LeMat-Bulk
Functional: PBE
Structure: relaxed

Cell: 6.1867 6.1867 6.5879 Å, 82.86 82.86 104.97°
Atoms (fractional coordinates):
Na (0.6927, 0.6927, 0.3971)
Na (0.1895, 0.8105, 0.5000)
Na (0.8105, 0.1895, 0.5000)
Na (0.1990, 0.8010, 0.0000)
Na (0.8010, 0.1990, 0.0000)
Na (0.3073, 0.3073, 0.6029)
Bi (0.7177, 0.7177, 0.8738)
Bi (0.2823, 0.2823, 0.1262)
O (0.0010, 0.0010, 0.2486)
O (0.7914, 0.4765, 0.7029)
O (0.4765, 0.7914, 0.7029)
O (0.2086, 0.5235, 0.2971)
O (0.5235, 0.2086, 0.2971)
O (0.9990, 0.9990, 0.7514)

## Properties
- space group = C2/m (12)
- crystal system = monoclinic

Entry iii
Compound: Na3BiO3
Source: Alexandria via LeMat-Bulk
Functional: PBE
Structure: relaxed

Cell: 8.4680 8.4680 8.4680 Å, 109.47 109.47 109.47°
Atoms (fractional coordinates):
Na (0.2468, 0.7213, 0.7213)
Na (0.7213, 0.7213, 0.2468)
Na (0.7213, 0.2468, 0.7213)
Na (0.0000, 0.5256, 0.2787)
Na (0.0000, 0.2787, 0.5256)
Na (0.7532, 0.4744, 0.4744)
Na (0.4744, 0.4744, 0.7532)
Na (0.5256, 0.2787, 0.0000)
Na (0.2787, 0.0000, 0.5256)
Na (0.5256, 0.0000, 0.2787)
Na (0.4744, 0.7532, 0.4744)
Na (0.2787, 0.5256, 0.0000)
Bi (0.0000, 0.7148, 0.0000)
Bi (0.0000, 0.0000, 0.7148)
Bi (0.2852, 0.2852, 0.2852)
Bi (0.7148, 0.0000, 0.0000)
O (0.4842, 0.2559, 0.4842)
O (0.2559, 0.4842, 0.4842)
O (0.4842, 0.4842, 0.2559)
O (0.5158, 0.7716, 0.0000)
O (0.7716, 0.0000, 0.5158)
O (0.5158, 0.0000, 0.7716)
O (0.2284, 0.7441, 0.2284)
O (0.7716, 0.5158, 0.0000)
O (0.0000, 0.5158, 0.7716)
O (0.2284, 0.2284, 0.7441)
O (0.7441, 0.2284, 0.2284)
O (0.0000, 0.7716, 0.5158)

## Properties
- space group = I-43m (217)
- crystal system = cubic

Quick one: least stable of them? entry ii

Entry i
Compound: Na3BiO
Source: Alexandria via LeMat-Bulk
Functional: PBE
Structure: relaxed

Cell: 5.9888 5.9888 5.9888 Å, 90.00 90.00 90.00°
Atoms (fractional coordinates):
Na (0.0000, 0.5000, 0.0000)
Na (0.0000, 0.0000, 0.5000)
Na (0.5000, 0.0000, 0.0000)
Bi (0.0000, 0.0000, 0.0000)
O (0.5000, 0.5000, 0.5000)

## Properties
- space group = Pm-3m (221)
- crystal system = cubic

Entry ii
Compound: Na3BiO
Source: Alexandria via LeMat-Bulk
Functional: PBE
Structure: relaxed

Cell: 5.9684 5.9811 8.7549 Å, 89.85 69.71 60.13°
Atoms (fractional coordinates):
Na (0.4316, 0.9250, 0.5806)
Na (0.2259, 0.6414, 0.8986)
Na (0.5959, 0.0407, 0.8986)
Na (0.9950, 0.2711, 0.8986)
Na (0.2001, 0.5550, 0.5806)
Na (0.8305, 0.1559, 0.5805)
Bi (0.0246, 0.4432, 0.2733)
Bi (0.4020, 0.7534, 0.2058)
O (0.0382, 0.9353, 0.7523)
O (0.3882, 0.2611, 0.7268)

## Properties
- space group = P-1 (2)
- crystal system = triclinic

Quick one: least stable of them? entry i

Entry i
Compound: NaBiP2O
Source: Alexandria via LeMat-Bulk
Functional: PBE
Structure: relaxed

Cell: 5.4155 5.4155 4.3500 Å, 90.00 90.00 90.00°
Atoms (fractional coordinates):
P (0.0000, 0.5000, 0.0000)
P (0.5000, 0.0000, 0.0000)
Bi (0.0000, 0.0000, 0.0000)
O (0.0000, 0.0000, 0.5000)
Na (0.5000, 0.5000, 0.5000)

## Properties
- space group = P4/mmm (123)
- crystal system = tetragonal

Entry ii
Compound: NaBiP2O
Source: Alexandria via LeMat-Bulk
Functional: PBE
Structure: relaxed

Cell: 5.0018 5.0018 4.0750 Å, 90.00 90.00 90.00°
Atoms (fractional coordinates):
P (0.0000, 0.5000, 0.0000)
P (0.5000, 0.0000, 0.0000)
Bi (0.5000, 0.5000, 0.5000)
O (0.0000, 0.0000, 0.5000)
Na (0.0000, 0.0000, 0.0000)

## Properties
- space group = P4/mmm (123)
- crystal system = tetragonal

Quick one: least stable of them? entry ii